Below is a geometry-optimized EuGdMnZn structure, with properties calculated at the GGA-PBE level.

Values from the calculation:
- volume (Å³ per atom) = 24.2
- uncorrected energy (eV per atom) = -8.672
- energy of formation from the pure elements (kcal/mol of atoms) = 0.6

abc: 5.154 5.154 5.154
angles: 60.00 60.00 60.00
Positions (direct):
Eu1 0.000 0.000 0.000
Gd1 0.500 0.500 0.500
Mn1 0.250 0.250 0.250
Zn1 0.750 0.750 0.750

***

Below is a geometry-optimized NpPaSbPd structure, with properties calculated at the GGA-PBE level.

Values from the calculation:
- volume (Å³ per atom) = 22.5
- energy relative to the elements, uncorrected (eV per formula unit) = -0.14
- uncorrected energy (eV per atom) = -7.972

abc: 5.030 5.030 5.030
angles: 60.00 60.00 60.00
Positions (direct):
Np1 0.000 0.000 0.000
Pa1 0.250 0.250 0.250
Sb1 0.750 0.750 0.750
Pd1 0.500 0.500 0.500

***

Question: Among the records above, which one has the highest uncorrected energy?
Answer: NpPaSbPd